The following is a DFT calculation (PBE) of LiFeAgPt after structural relaxation.

## Properties
Space-group type: No. 216

The structure in POSCAR format:
```
LiFeAgPt
1.0
0.0000 3.0676 3.0676
3.0676 0.0000 3.0676
3.0676 3.0676 0.0000
Li Fe Ag Pt
1 1 1 1
Direct
0.0000 0.0000 0.0000 Li
0.5000 0.5000 0.5000 Fe
0.2500 0.2500 0.2500 Ag
0.7500 0.7500 0.7500 Pt
```

***

The following is a DFT calculation (PBE) of Zr2AsPb after structural relaxation.

## Properties
Polymorph energy (0 for the lowest one): 0.5674 eV per atom
Space-group type: No. 160

The structure in POSCAR format:
```
Zr2AsPb
1.0
1.6912 0.9764 9.6608
-1.6912 0.9764 9.6608
0.0000 -1.9528 9.6608
Zr As Pb
2 1 1
Direct
0.0000 0.0000 0.0000 Zr
0.2491 0.2491 0.2491 Zr
0.7358 0.7358 0.7358 As
0.4907 0.4907 0.4907 Pb
```

***

Number 1: calculated formation energy -115 meV/atom, total magnetic moment 3.3 μB/f.u., DOS(E_F) 0.858 states/eV per atom. Number 2: calculated formation energy -71 meV/atom, total magnetic moment 0.0 μB/f.u., DOS(E_F) 0.946 states/eV per atom.